No. 1
Cr2PdC: optimized geometry, PBE-GGA.

Geometry as CIF:
```
data_Cr2PdC
_symmetry_space_group_name_H-M 'I -4 2 d'
_symmetry_Int_Tables_number 122
_symmetry_space_group_name_Hall 'I -4 2bw'
_cell_length_a 6.3208
_cell_length_b 6.3208
_cell_length_c 4.6191
_cell_angle_alpha 90.00
_cell_angle_beta 90.00
_cell_angle_gamma 90.00
loop_
_atom_site_label
_atom_site_type_symbol
_atom_site_fract_x
_atom_site_fract_y
_atom_site_fract_z
Cr1 Cr 0.1597 0.7500 0.1250
Pd1 Pd 0.0000 0.0000 0.5000
C1 C 0.0000 0.0000 0.0000
```

Values from the calculation:
DFT formation energy = 0.386 eV/atom

---

No. 2
CeAu2Cl6: optimized geometry, PBE-GGA.

Geometry as CIF:
```
data_CeAu2Cl6
_symmetry_space_group_name_H-M 'C 1 2/c 1'
_symmetry_Int_Tables_number 15
_symmetry_space_group_name_Hall '-C 2yc'
_cell_length_a 13.7815
_cell_length_b 14.0775
_cell_length_c 6.7685
_cell_angle_alpha 90.00
_cell_angle_beta 98.44
_cell_angle_gamma 90.00
loop_
_atom_site_label
_atom_site_type_symbol
_atom_site_fract_x
_atom_site_fract_y
_atom_site_fract_z
Ce1 Ce 0.0000 0.0920 0.2500
Au1 Au 0.1128 0.4993 0.2965
Cl1 Cl 0.1069 0.0565 0.6116
Cl2 Cl 0.1172 0.2086 0.1329
Cl3 Cl 0.1185 0.3873 0.5498
```

Values from the calculation:
E_form (uncorrected) = -1.139 eV/atom

---

No. 3
CeY2In9: optimized geometry, PBE-GGA.

Geometry as CIF:
```
data_CeY2In9
_symmetry_space_group_name_H-M 'P 4/m m m'
_symmetry_Int_Tables_number 123
_symmetry_space_group_name_Hall '-P 4 2'
_cell_length_a 4.6675
_cell_length_b 4.6675
_cell_length_c 14.0039
_cell_angle_alpha 90.00
_cell_angle_beta 90.00
_cell_angle_gamma 90.00
loop_
_atom_site_label
_atom_site_type_symbol
_atom_site_fract_x
_atom_site_fract_y
_atom_site_fract_z
Ce1 Ce 0.0000 0.0000 0.0000
Y1 Y 0.0000 0.0000 0.3355
In1 In 0.0000 0.5000 0.1687
In2 In 0.0000 0.5000 0.5000
In3 In 0.5000 0.5000 0.0000
In4 In 0.5000 0.5000 0.3331
```

Values from the calculation:
DFT formation energy = -0.424 eV/atom

---

No. 4
Sc3AlTc: optimized geometry, PBE-GGA.

Geometry as CIF:
```
data_Sc3AlTc
_symmetry_space_group_name_H-M 'P m -3 m'
_symmetry_Int_Tables_number 221
_symmetry_space_group_name_Hall '-P 4 2 3'
_cell_length_a 4.9717
_cell_length_b 4.9717
_cell_length_c 4.9717
_cell_angle_alpha 90.00
_cell_angle_beta 90.00
_cell_angle_gamma 90.00
loop_
_atom_site_label
_atom_site_type_symbol
_atom_site_fract_x
_atom_site_fract_y
_atom_site_fract_z
Sc1 Sc 0.0000 0.0000 0.5000
Al1 Al 0.5000 0.5000 0.5000
Tc1 Tc 0.0000 0.0000 0.0000
```

Values from the calculation:
DFT formation energy = 0.202 eV/atom
relative energy among the computed polymorphs = 49.6 kJ/mol of atoms

---

Number 1: total DFT energy (no corrections) -8.030 eV per atom. Number 2: total DFT energy (no corrections) -3.757 eV per atom. Number 3: total DFT energy (no corrections) -4.050 eV per atom. Number 4: total DFT energy (no corrections) -6.418 eV per atom.